(1)
Density functional theory data (meta-GGA SCAN) for a crystal of HPtI relaxed with PBEsol.

V ... 20.94 Å³ per atom
DFT total energy ... -36.903 eV/atom
D(E_F) ... 0.00 states/eV/cell

abc: 4.121 3.904 8.075
angles: 90.00 104.73 90.00
Element x y z (fractional)
H 0.000 0.250 0.000
H 0.000 0.750 0.000
Pt 0.200 0.000 0.883
Pt 0.318 0.500 0.116
I 0.249 0.500 0.676
I 0.574 0.000 0.322

***

(2)
Density functional theory data (meta-GGA SCAN) for a crystal of HPt3I relaxed with PBEsol.

V ... 23.96 Å³ per atom
DFT total energy ... -48.398 eV/atom
D(E_F) ... 4.97 states/eV/cell

abc: 4.930 4.930 4.930
angles: 90.00 90.00 90.00
Element x y z (fractional)
H 0.000 0.000 0.000
Pt 0.000 0.500 0.500
Pt 0.500 0.000 0.500
Pt 0.500 0.500 0.000
I 0.500 0.500 0.500

***

(3)
Density functional theory data (meta-GGA SCAN) for a crystal of TeHPtI2 relaxed with PBEsol.

V ... 31.55 Å³ per atom
DFT total energy ... -36.278 eV/atom
Polymorph energy (0 for the lowest one) ... 0 meV/atom
D(E_F) ... 2.65 states/eV/cell

abc: 5.577 5.577 5.072
angles: 90.00 90.00 90.00
Element x y z (fractional)
Te 0.000 0.000 0.000
H 0.500 0.500 0.000
Pt 0.000 0.000 0.500
I 0.000 0.500 0.500
I 0.500 0.000 0.500

***

(4)
Density functional theory data (meta-GGA SCAN) for a crystal of TeHPtI2 relaxed with PBEsol.

V ... 35.48 Å³ per atom
DFT total energy ... -36.085 eV/atom
Polymorph energy (0 for the lowest one) ... 193 meV/atom
D(E_F) ... 2.86 states/eV/cell

abc: 6.031 6.031 4.877
angles: 90.00 90.00 90.00
Element x y z (fractional)
Te 0.000 0.000 0.000
H 0.500 0.500 0.500
Pt 0.000 0.000 0.500
I 0.000 0.500 0.000
I 0.500 0.000 0.000

***

(5)
Density functional theory data (meta-GGA SCAN) for a crystal of RbSbHI2 relaxed with PBEsol.

V ... 28.00 Å³ per atom
DFT total energy ... -27.274 eV/atom
D(E_F) ... 1.33 states/eV/cell

abc: 5.913 5.913 4.004
angles: 90.00 90.00 90.00
Element x y z (fractional)
Rb 0.000 0.000 0.000
Sb 0.500 0.500 0.000
H 0.500 0.500 0.500
I 0.000 0.500 0.500
I 0.500 0.000 0.500

***

(6)
Density functional theory data (meta-GGA SCAN) for a crystal of RbTeHI2 relaxed with PBEsol.

V ... 28.78 Å³ per atom
DFT total energy ... -27.264 eV/atom
D(E_F) ... 3.74 states/eV/cell

abc: 6.022 6.022 3.968
angles: 90.00 90.00 90.00
Element x y z (fractional)
Rb 0.000 0.000 0.000
Te 0.500 0.500 0.000
H 0.500 0.500 0.500
I 0.000 0.500 0.500
I 0.500 0.000 0.500

***

(7)
Density functional theory data (meta-GGA SCAN) for a crystal of ReH2I relaxed with PBEsol.

V ... 11.35 Å³ per atom
DFT total energy ... -26.790 eV/atom
D(E_F) ... 2.70 states/eV/cell

abc: 4.004 4.004 4.004
angles: 60.00 60.00 60.00
Element x y z (fractional)
Re 0.000 0.000 0.000
H 0.250 0.250 0.250
H 0.750 0.750 0.750
I 0.500 0.500 0.500

***

(8)
Density functional theory data (meta-GGA SCAN) for a crystal of ReTeHI2 relaxed with PBEsol.

V ... 31.46 Å³ per atom
DFT total energy ... -36.060 eV/atom
D(E_F) ... 1.82 states/eV/cell

abc: 5.594 5.594 5.026
angles: 90.00 90.00 90.00
Element x y z (fractional)
Re 0.000 0.000 0.000
Te 0.000 0.000 0.500
H 0.500 0.500 0.500
I 0.000 0.500 0.000
I 0.500 0.000 0.000

***

(9)
Density functional theory data (meta-GGA SCAN) for a crystal of SbHRhI2 relaxed with PBEsol.

V ... 20.30 Å³ per atom
DFT total energy ... -28.874 eV/atom
D(E_F) ... 4.74 states/eV/cell

abc: 5.361 5.361 3.532
angles: 90.00 90.00 90.00
Element x y z (fractional)
Sb 0.000 0.000 0.000
H 0.500 0.500 0.500
Rh 0.500 0.500 0.000
I 0.000 0.500 0.500
I 0.500 0.000 0.500

***

(10)
Density functional theory data (meta-GGA SCAN) for a crystal of Sn2HRhI relaxed with PBEsol.

V ... 19.10 Å³ per atom
DFT total energy ... -28.468 eV/atom
D(E_F) ... 2.61 states/eV/cell

abc: 4.259 4.259 5.263
angles: 90.00 90.00 90.00
Element x y z (fractional)
Sn 0.000 0.500 0.000
Sn 0.500 0.000 0.000
H 0.000 0.000 0.000
Rh 0.500 0.500 0.500
I 0.000 0.000 0.500

***

(11)
Density functional theory data (meta-GGA SCAN) for a crystal of HRu3I relaxed with PBEsol.

V ... 21.84 Å³ per atom
DFT total energy ... -26.471 eV/atom
D(E_F) ... 4.98 states/eV/cell

abc: 4.780 4.780 4.780
angles: 90.00 90.00 90.00
Element x y z (fractional)
H 0.000 0.000 0.000
Ru 0.000 0.500 0.500
Ru 0.500 0.000 0.500
Ru 0.500 0.500 0.000
I 0.500 0.500 0.500

***

(12)
Density functional theory data (meta-GGA SCAN) for a crystal of HS3I relaxed with PBEsol.

V ... 15.24 Å³ per atom
DFT total energy ... -12.559 eV/atom
D(E_F) ... 3.58 states/eV/cell

abc: 4.239 4.239 4.239
angles: 90.00 90.00 90.00
Element x y z (fractional)
H 0.000 0.000 0.000
S 0.000 0.000 0.500
S 0.000 0.500 0.000
S 0.500 0.000 0.000
I 0.500 0.500 0.500